Material: CaCuSe
Method: DFT, SCAN
State: PBEsol geometry

## Properties
The value obtained for the raw formation energy is -454.4 meV per atom. The value obtained for the spin magnetization is 0.0000 μB/atom.

Geometry as CIF:
```
data_CaCuSe
_space_group_name_H-M_alt 'F -4 3 m'
_space_group_IT_number 216
_space_group_name_Hall 'F -4 2 3'
_cell_length_a 6.544
_cell_length_b 6.544
_cell_length_c 6.544
_cell_angle_alpha 90.00
_cell_angle_beta 90.00
_cell_angle_gamma 90.00
loop_
_atom_site_label
_atom_site_fract_x
_atom_site_fract_y
_atom_site_fract_z
Ca1 0.000 0.000 0.000
Cu1 0.250 0.250 0.750
Se1 0.250 0.250 0.250
```